AlAg5: relaxed, PBE-GGA.

```
6
Lattice="-1.8383 2.1233 -0.7961 -0.8169 0.3359 2.7823 8.9191 8.3266 1.6133" Properties=species:S:1:pos:R:3 pbc="T T T"
Ag 7.5473 7.0460 1.3652
Ag 1.3717 1.2806 0.2481
Ag 4.6574 6.8170 2.0757
Ag 1.6065 3.9688 1.5239
Ag 4.4595 4.1633 0.8067
Al -1.3276 1.2296 0.9931
```

Results
Formation enthalpy at 0 K (eV per atom): -0.0090
Space group: No. 123
ΔE to the lowest computed polymorph (meV per atom): 18
Calculated volume (Å³/f.u.): 104.9